DFT (GGA-PBE) results for a geometry-optimized CsRuOF2 structure.

Computed properties:
Formation energy from raw total energies ... -7.90 eV/f.u.
Energy above the most stable polymorph in this dataset ... 0 meV/atom

Unit cell a=4.6429 b=4.6429 c=3.7740 alpha=90.00 beta=90.00 gamma=90.00
Space group P4/mmm (No. 123)
One atom of each set of equivalent atoms:
Cs (0.0000, 0.0000, 0.0000)
Ru (0.5000, 0.5000, 0.5000)
O (0.5000, 0.5000, 0.0000)
F (0.0000, 0.5000, 0.5000)

=====

DFT (GGA-PBE) results for a geometry-optimized AcMgZnIr structure.

Computed properties:
ΔH_f (0 K) ... -18 kJ/mol of atoms
Energy above the most stable polymorph in this dataset ... 215 meV/atom

Unit cell a=7.1219 b=7.1219 c=7.1219 alpha=90.00 beta=90.00 gamma=90.00
Space group F-43m (No. 216)
One atom of each set of equivalent atoms:
Ac (0.0000, 0.0000, 0.0000)
Mg (0.0000, 0.0000, 0.5000)
Zn (0.2500, 0.2500, 0.7500)
Ir (0.2500, 0.2500, 0.2500)

=====

DFT (GGA-PBE) results for a geometry-optimized RbMnHg2Pb structure.

Computed properties:
ΔH_f (0 K) ... 13 kJ/mol of atoms

Unit cell a=5.2505 b=5.2505 c=5.0366 alpha=90.00 beta=90.00 gamma=90.00
Space group P4/mmm (No. 123)
One atom of each set of equivalent atoms:
Rb (0.0000, 0.0000, 0.0000)
Mn (0.5000, 0.5000, 0.5000)
Hg (0.0000, 0.5000, 0.5000)
Pb (0.5000, 0.5000, 0.0000)

=====

DFT (GGA-PBE) results for a geometry-optimized SiMoAs2Br structure.

Computed properties:
Formation energy from raw total energies ... 3.75 eV/f.u.
Energy above the most stable polymorph in this dataset ... 0 meV/atom

Unit cell a=4.8229 b=4.8229 c=5.3689 alpha=90.00 beta=90.00 gamma=90.00
Space group P4/mmm (No. 123)
One atom of each set of equivalent atoms:
Si (0.0000, 0.0000, 0.0000)
Mo (0.5000, 0.5000, 0.5000)
As (0.0000, 0.5000, 0.5000)
Br (0.5000, 0.5000, 0.0000)